A relaxed NiIN2O crystal, computed with GGA+U.

Lattice parameters (Å, degrees): 3.877 3.877 3.734 90.00 90.00 90.00
Space group P4/mmm (No. 123)
Unique sites:
Ni  0.000  0.000  0.000 x1
I  0.500  0.500  0.500 x1
N  0.000  0.500  0.000 x2
O  0.000  0.000  0.500 x1

Values from the calculation:
The calculation puts the mass density at 6.8 g/cm³. As for the total energy: -3.730 eV/atom.